# 1
Crystalline SrAl3Zn at its relaxed geometry. Source: the Alexandria database, functional PBE.

Computed properties:
**Raw total energy**: -1.4126 eV/atom
**Theoretical density**: 1.70 g cm⁻³
**Total magnetization**: 0.00 μB/cell
**DOS(E_F)**: 8.7 states/eV/cell

Cell and atoms, written as CIF:
```
data_SrAl3Zn
_chemical_formula_sum 'Sr1 Al3 Zn1'
_cell_length_a 6.1187
_cell_length_b 6.1187
_cell_length_c 6.1187
_cell_angle_alpha 90.00
_cell_angle_beta 90.00
_cell_angle_gamma 90.00
_space_group_name_H-M_alt 'P m -3 m'
_space_group_IT_number 221
_space_group_name_Hall '-P 4 2 3'
loop_
_atom_site_label
_atom_site_type_symbol
_atom_site_fract_x
_atom_site_fract_y
_atom_site_fract_z
_atom_site_occupancy
Sr1 Sr 0.0000 0.0000 0.0000 1
Al1 Al 0.0000 0.0000 0.5000 1
Zn1 Zn 0.5000 0.5000 0.5000 1
```

# 2
Crystalline RbSi2Hg at its relaxed geometry. Source: the Alexandria database, functional PBE.

Computed properties:
**E_form (uncorrected)**: 298 kJ/mol of formula units
**Raw total energy**: -2.2568 eV/atom
**Theoretical density**: 5.78 g cm⁻³
**Energy relative to the lowest polymorph listed for this composition**: 0.450 eV per atom
**Total magnetization**: 0.00 μB/cell
**DOS(E_F)**: 7.3 states/eV/cell

Cell and atoms, written as CIF:
```
data_RbSi2Hg
_chemical_formula_sum 'Rb4 Si8 Hg4'
_cell_length_a 7.3282
_cell_length_b 7.3282
_cell_length_c 7.3282
_cell_angle_alpha 90.00
_cell_angle_beta 90.00
_cell_angle_gamma 90.00
_space_group_name_H-M_alt 'F m -3 m'
_space_group_IT_number 225
_space_group_name_Hall '-F 4 2 3'
loop_
_atom_site_label
_atom_site_type_symbol
_atom_site_fract_x
_atom_site_fract_y
_atom_site_fract_z
_atom_site_occupancy
Rb1 Rb 0.0000 0.0000 0.0000 1
Si1 Si 0.2500 0.2500 0.2500 1
Hg1 Hg 0.0000 0.0000 0.5000 1
```

# 3
Crystalline Er3TlAg at its relaxed geometry. Source: the Alexandria database, functional PBE.

Computed properties:
**Raw total energy**: -3.8789 eV/atom
**Theoretical density**: 9.88 g cm⁻³
**Energy relative to the lowest polymorph listed for this composition**: 0.144 eV per atom
**Total magnetization**: 0.00 μB/cell
**DOS(E_F)**: 39.1 states/eV/cell

Cell and atoms, written as CIF:
```
data_Er3TlAg
_chemical_formula_sum 'Er24 Tl8 Ag8'
_cell_length_a 11.5684
_cell_length_b 6.3694
_cell_length_c 14.9859
_cell_angle_alpha 90.00
_cell_angle_beta 97.45
_cell_angle_gamma 90.00
_space_group_name_H-M_alt 'C 1 2/c 1'
_space_group_IT_number 15
loop_
_space_group_symop_operation_xyz
'x,y,z'
'-x,-y,-z'
'-x,y,-z+1/2'
'x,-y,z+1/2'
'x+1/2,y+1/2,z'
'-x+1/2,-y+1/2,-z'
'-x+1/2,y+1/2,-z+1/2'
'x+1/2,-y+1/2,z+1/2'
loop_
_atom_site_label
_atom_site_type_symbol
_atom_site_fract_x
_atom_site_fract_y
_atom_site_fract_z
_atom_site_occupancy
Er1 Er 0.0626 0.1181 0.0971 1
Er2 Er 0.1727 0.1461 0.7959 1
Er3 Er 0.1885 0.3591 0.4040 1
Tl1 Tl 0.0643 0.3697 0.6065 1
Ag1 Ag 0.0000 0.3421 0.2500 1
Ag2 Ag 0.2500 0.2500 0.0000 1
```

# 4
Crystalline CaLaHg at its relaxed geometry. Source: the Alexandria database, functional PBE.

Computed properties:
**Raw total energy**: -2.7417 eV/atom
**Theoretical density**: 6.41 g cm⁻³
**Energy relative to the lowest polymorph listed for this composition**: 0.018 eV per atom
**Total magnetization**: 0.01 μB/cell
**DOS(E_F)**: 6.1 states/eV/cell

Cell and atoms, written as CIF:
```
data_CaLaHg
_chemical_formula_sum 'Ca2 La2 Hg2'
_cell_length_a 3.8009
_cell_length_b 3.8009
_cell_length_c 13.6149
_cell_angle_alpha 90.00
_cell_angle_beta 90.00
_cell_angle_gamma 90.00
_space_group_name_H-M_alt 'I 4 m m'
_space_group_IT_number 107
_space_group_name_Hall 'I 4 -2'
loop_
_atom_site_label
_atom_site_type_symbol
_atom_site_fract_x
_atom_site_fract_y
_atom_site_fract_z
_atom_site_occupancy
Ca1 Ca 0.0000 0.0000 0.0000 1
La1 La 0.0000 0.0000 0.7210 1
Hg1 Hg 0.0000 0.0000 0.3645 1
```

# 5
Crystalline BiB3Os at its relaxed geometry. Source: the Alexandria database, functional PBE.

Computed properties:
**Raw total energy**: -5.8985 eV/atom
**Theoretical density**: 9.55 g cm⁻³
**Energy relative to the lowest polymorph listed for this composition**: 0.000 eV per atom
**Total magnetization**: 0.67 μB/cell
**DOS(E_F)**: 4.7 states/eV/cell

Cell and atoms, written as CIF:
```
data_BiB3Os
_chemical_formula_sum 'Bi1 B3 Os1'
_cell_length_a 4.2179
_cell_length_b 4.2179
_cell_length_c 4.2179
_cell_angle_alpha 90.00
_cell_angle_beta 90.00
_cell_angle_gamma 90.00
_space_group_name_H-M_alt 'P m -3 m'
_space_group_IT_number 221
_space_group_name_Hall '-P 4 2 3'
loop_
_atom_site_label
_atom_site_type_symbol
_atom_site_fract_x
_atom_site_fract_y
_atom_site_fract_z
_atom_site_occupancy
Bi1 Bi 0.0000 0.0000 0.0000 1
B1 B 0.0000 0.5000 0.5000 1
Os1 Os 0.5000 0.5000 0.5000 1
```

# 6
Crystalline Os3Se at its relaxed geometry. Source: the Alexandria database, functional PBE.

Computed properties:
**E_form (uncorrected)**: 262 kJ/mol of formula units
**Raw total energy**: -8.6145 eV/atom
**Theoretical density**: 17.27 g cm⁻³
**Energy relative to the lowest polymorph listed for this composition**: 0.146 eV per atom
**Total magnetization**: 0.00 μB/cell
**DOS(E_F)**: 9.3 states/eV/cell

Cell and atoms, written as CIF:
```
data_Os3Se
_chemical_formula_sum 'Os12 Se4'
_cell_length_a 6.8302
_cell_length_b 8.2086
_cell_length_c 4.4567
_cell_angle_alpha 90.00
_cell_angle_beta 90.00
_cell_angle_gamma 90.00
_space_group_name_H-M_alt 'C m c m'
_space_group_IT_number 63
_space_group_name_Hall '-C 2c 2'
loop_
_atom_site_label
_atom_site_type_symbol
_atom_site_fract_x
_atom_site_fract_y
_atom_site_fract_z
_atom_site_occupancy
Os1 Os 0.0000 0.2323 0.2500 1
Os2 Os 0.1969 0.0708 0.7500 1
Se1 Se 0.0000 0.3664 0.7500 1
```